Entry from Alexandria: an optimized crystal structure of AcTlGeO4 (GGA-PBE).

Space group: No. 11

a = 6.4631 Å, b = 5.9389 Å, c = 7.8752 Å
α = 90.00°, β = 100.62°, γ = 90.00°
With the nearest neighbours (Å) after each atom.
Atoms (fractional coordinates):
O 0.9033 0.4838 0.6610  1 Ge 1.79
O 0.5616 0.2500 0.4380  1 Ge 1.80
O 0.9033 0.0162 0.6610  1 Ge 1.79
O 0.0967 0.9838 0.3390  1 Ge 1.79
O 0.4463 0.7500 0.2024  1 Ge 1.76
O 0.5537 0.2500 0.7976  1 Ge 1.76
O 0.0967 0.5162 0.3390  1 Ge 1.79
O 0.4384 0.7500 0.5620  1 Ge 1.80
Ge 0.7267 0.2500 0.6486  4 O 1.76-1.80
Ge 0.2733 0.7500 0.3514  4 O 1.76-1.80
Ac 0.2185 0.2500 0.5816  6 O 2.49-2.67
Ac 0.7815 0.7500 0.4184  6 O 2.49-2.67
Tl 0.6617 0.7500 0.8721  1 O 2.60
Tl 0.3383 0.2500 0.1279  1 O 2.60


Entry from Alexandria: an optimized crystal structure of AcTmGeO5 (GGA-PBE).

Space group: No. 15

a = 6.0331 Å, b = 6.0331 Å, c = 7.6120 Å
α = 102.31°, β = 102.31°, γ = 107.66°
With the nearest neighbours (Å) after each atom.
Atoms (fractional coordinates):
Ac 0.3314 0.6686 0.2500  1 O 2.31
Ac 0.6686 0.3314 0.7500  1 O 2.31
Tm 0.0000 0.0000 0.5000  6 O 2.11-2.30
Tm 0.0000 0.0000 0.0000  6 O 2.11-2.30
O 0.6751 0.1030 0.3776  1 Ge 1.79
O 0.6033 0.7358 0.9191  1 Ge 1.79
O 0.7358 0.6033 0.4191  1 Ge 1.79
O 0.0946 0.9054 0.2500  2 Tm 2.11, 1 Ac 2.31
O 0.3967 0.2642 0.0809  1 Ge 1.79
O 0.8970 0.3249 0.1224  1 Ge 1.79
O 0.2642 0.3967 0.5809  1 Ge 1.79
O 0.1030 0.6751 0.8776  1 Ge 1.79
O 0.9054 0.0946 0.7500  2 Tm 2.11, 1 Ac 2.31
O 0.3249 0.8970 0.6224  1 Ge 1.79
Ge 0.6790 0.3210 0.2500  4 O 1.79
Ge 0.3210 0.6790 0.7500  4 O 1.79


Entry from Alexandria: an optimized crystal structure of AcUGe2O8 (GGA-PBE).

Space group: No. 119

a = 6.1355 Å, b = 6.1355 Å, c = 6.1355 Å
α = 106.57°, β = 106.57°, γ = 115.43°
With the nearest neighbours (Å) after each atom.
Atoms (fractional coordinates):
O 0.3890 0.0844 0.3046  1 Ge 1.80
O 0.3085 0.1385 0.8299  1 Ge 1.77
O 0.9156 0.6110 0.6954  1 Ge 1.80
O 0.5214 0.6915 0.8299  1 Ge 1.77
O 0.7798 0.0844 0.6954  1 Ge 1.80
O 0.3085 0.4786 0.1701  1 Ge 1.77
O 0.9156 0.2202 0.3046  1 Ge 1.80
O 0.8615 0.6915 0.1701  1 Ge 1.77
Ge 0.7500 0.2500 0.5000  4 O 1.80
Ge 0.5000 0.5000 0.0000  4 O 1.77
Ac 0.2500 0.7500 0.5000  8 O 2.45-2.62
U 0.0000 0.0000 0.0000  8 O 2.30-2.38


Let's list formation energy (no corrections) in order: -2.09, -2.90, -2.45 eV/atom.